Computed, not measured: crystalline K2Ta2PdSe6 at its relaxed geometry at the PBE level of DFT.

abc: 6.721 10.900 8.056
angles: 90.00 103.17 90.00
Space group C2/m (No. 12)
Asymmetric unit:
1 K 0.000 0.183 0.000 x4
2 Ta 0.000 0.366 0.500 x4
3 Pd 0.000 0.000 0.500 x2
4 Se 0.162 0.500 0.751 x4
5 Se 0.206 0.172 0.670 x8

Fermi-level density of states = 6.33 states/eV/cell
Crystal system = monoclinic
ρ = 5.90 g/cm3
Formation energy without anion corrections = -775 meV per atom